Arrangement w

# LiErHg2

A relaxed structure of LiErHg2 (GGA-PBE, Alexandria via LeMat-Bulk).

The volume comes out at 21.93 A^3/atom. As for the total magnetization: 0.00 μB per cell.

a b c (Å): 7.0530 7.0530 7.0530
angles (deg): 90.00 90.00 90.00
Space group Fm-3m (No. 225)
One atom of each set of equivalent atoms:
Li1 0.0000 0.0000 0.0000 x4
Er1 0.0000 0.0000 0.5000 x4
Hg1 0.2500 0.2500 0.2500 x8

=====

Arrangement x

# LiErHg2

A relaxed structure of LiErHg2 (GGA-PBE, Alexandria via LeMat-Bulk).

The volume comes out at 21.83 A^3/atom. As for the total magnetization: 0.15 μB per cell.

a b c (Å): 3.4865 3.4865 7.1820
angles (deg): 90.00 90.00 90.00
Space group P4/mmm (No. 123)
One atom of each set of equivalent atoms:
Li1 0.0000 0.0000 0.0000 x1
Er1 0.0000 0.0000 0.5000 x1
Hg1 0.5000 0.5000 0.2233 x2

=====

Order of stability, best first: arrangement w, arrangement x

=====

Arrangement w

# LiErHg2

A relaxed structure of LiErHg2 (GGA-PBE, Alexandria via LeMat-Bulk).

The volume comes out at 22.94 A^3/atom. As for the total magnetization: 0.00 μB per cell.

a b c (Å): 5.1545 5.1545 3.4541
angles (deg): 90.00 90.00 90.00
Space group P4/mmm (No. 123)
One atom of each set of equivalent atoms:
Li1 0.0000 0.0000 0.0000 x1
Er1 0.5000 0.5000 0.0000 x1
Hg1 0.0000 0.5000 0.5000 x2

=====

Arrangement x

# LiErHg2

A relaxed structure of LiErHg2 (GGA-PBE, Alexandria via LeMat-Bulk).

The volume comes out at 24.02 A^3/atom. As for the total magnetization: 0.00 μB per cell.

a b c (Å): 3.8057 3.8057 22.9805
angles (deg): 90.00 90.00 120.00
Space group R3m (No. 160, hexagonal axes)
One atom of each set of equivalent atoms:
Li1 0.0000 0.0000 0.0000 x3
Er1 0.0000 0.0000 0.8312 x3
Hg1 0.0000 0.0000 0.2594 x3
Hg2 0.0000 0.0000 0.4041 x3

=====

Order of stability, best first: arrangement w, arrangement x

=====

Arrangement w

# Li3Er2Hg4

A relaxed structure of Li3Er2Hg4 (GGA-PBE, Alexandria via LeMat-Bulk).

The volume comes out at 21.50 A^3/atom. As for the total magnetization: 0.00 μB per cell.

a b c (Å): 4.8248 5.0760 9.0987
angles (deg): 98.07 90.04 118.37
Space group P-1 (No. 2)
One atom of each set of equivalent atoms:
Li1 0.0000 0.0000 0.0000 x1
Li2 0.3614 0.7211 0.4274 x2
Er1 0.3052 0.6115 0.7729 x2
Hg1 0.0437 0.0858 0.3515 x2
Hg2 0.3543 0.7077 0.1115 x2

=====

Arrangement x

# Li3Er2Hg4

A relaxed structure of Li3Er2Hg4 (GGA-PBE, Alexandria via LeMat-Bulk).

The volume comes out at 21.26 A^3/atom. As for the total magnetization: 0.00 μB per cell.

a b c (Å): 5.9796 15.5621 8.2229
angles (deg): 90.00 90.00 90.00
Space group Cmce (No. 64)
One atom of each set of equivalent atoms:
Li1 0.0000 0.0000 0.0000 x4
Li2 0.2500 0.2179 0.2500 x8
Er1 0.0000 0.1148 0.5829 x8
Hg1 0.0000 0.1827 0.9597 x8
Hg2 0.2500 0.0463 0.2500 x8

=====

Order of stability, best first: arrangement w, arrangement x

=====

Arrangement w

# LiEr2Hg3

A relaxed structure of LiEr2Hg3 (GGA-PBE, Alexandria via LeMat-Bulk).

The volume comes out at 25.70 A^3/atom. As for the total magnetization: 0.00 μB per cell.

a b c (Å): 3.7789 22.9227 7.1200
angles (deg): 90.00 90.00 90.00
Space group Cmcm (No. 63)
One atom of each set of equivalent atoms:
Li1 0.0000 0.1513 0.2500 x4
Er1 0.0000 0.3414 0.2500 x4
Er2 0.0000 0.4825 0.7500 x4
Hg1 0.0000 0.0746 0.5350 x8
Hg2 0.0000 0.2629 0.7500 x4

=====

Arrangement x

# LiEr2Hg3

A relaxed structure of LiEr2Hg3 (GGA-PBE, Alexandria via LeMat-Bulk).

The volume comes out at 23.25 A^3/atom. As for the total magnetization: 0.00 μB per cell.

a b c (Å): 5.0918 5.0918 12.4280
angles (deg): 90.00 90.00 120.00
Space group P-3m1 (No. 164)
One atom of each set of equivalent atoms:
Li1 0.3333 0.6667 0.1649 x2
Er1 0.0000 0.0000 0.0000 x1
Er2 0.0000 0.0000 0.5000 x1
Er3 0.3333 0.6667 0.6778 x2
Hg1 0.0000 0.0000 0.2458 x2
Hg2 0.3333 0.6667 0.4117 x2
Hg3 0.3333 0.6667 0.9241 x2

=====

Order of stability, best first: arrangement x, arrangement w

=====

Arrangement w

# Li2ErHg

A relaxed structure of Li2ErHg (GGA-PBE, Alexandria via LeMat-Bulk).

The volume comes out at 22.75 A^3/atom. As for the total magnetization: 0.30 μB per cell.

a b c (Å): 4.2855 4.2855 4.9545
angles (deg): 90.00 90.00 90.00
Space group P4/mmm (No. 123)
One atom of each set of equivalent atoms:
Li1 0.0000 0.5000 0.0000 x2
Er1 0.0000 0.0000 0.5000 x1
Hg1 0.5000 0.5000 0.5000 x1

=====

Arrangement x

# Li2ErHg

A relaxed structure of Li2ErHg (GGA-PBE, Alexandria via LeMat-Bulk).

The volume comes out at 19.20 A^3/atom. As for the total magnetization: 0.01 μB per cell.

a b c (Å): 6.7471 6.7471 6.7471
angles (deg): 90.00 90.00 90.00
Space group Fm-3m (No. 225)
One atom of each set of equivalent atoms:
Li1 0.2500 0.2500 0.2500 x8
Er1 0.0000 0.0000 0.0000 x4
Hg1 0.0000 0.0000 0.5000 x4

=====

Order of stability, best first: arrangement x, arrangement w

=====

Arrangement w

# LiEr2Hg6

A relaxed structure of LiEr2Hg6 (GGA-PBE, Alexandria via LeMat-Bulk).

The volume comes out at 23.37 A^3/atom. As for the total magnetization: 0.00 μB per cell.

a b c (Å): 5.4258 16.7390 5.3046
angles (deg): 90.00 119.16 90.00
Space group C2/m (No. 12)
One atom of each set of equivalent atoms:
Li1 0.0000 0.0000 0.0000 x2
Er1 0.0000 0.1664 0.5000 x4
Hg1 0.1706 0.3406 0.8367 x8
Hg2 0.1731 0.5000 0.3386 x4

=====

Arrangement x

# LiEr2Hg6

A relaxed structure of LiEr2Hg6 (GGA-PBE, Alexandria via LeMat-Bulk).

The volume comes out at 23.49 A^3/atom. As for the total magnetization: 0.00 μB per cell.

a b c (Å): 8.3956 8.5011 5.9263
angles (deg): 90.00 91.11 90.00
Space group C2/m (No. 12)
One atom of each set of equivalent atoms:
Li1 0.0000 0.0000 0.0000 x2
Er1 0.1726 0.5000 0.6742 x4
Hg1 0.0000 0.1651 0.5000 x4
Hg2 0.1678 0.3332 0.1669 x8

=====

Order of stability, best first: arrangement w, arrangement x

=====

Arrangement w

# Er2LuHg

A relaxed structure of Er2LuHg (GGA-PBE, Alexandria via LeMat-Bulk).

The volume comes out at 28.65 A^3/atom. As for the total magnetization: 0.00 μB per cell.

a b c (Å): 3.5640 3.5640 31.2571
angles (deg): 90.00 90.00 120.00
Space group R-3m (No. 166, hexagonal axes)
One atom of each set of equivalent atoms:
Er1 0.0000 0.0000 0.2436 x6
Lu1 0.0000 0.0000 0.0000 x3
Hg1 0.0000 0.0000 0.5000 x3

=====

Arrangement x

# Er2LuHg

A relaxed structure of Er2LuHg (GGA-PBE, Alexandria via LeMat-Bulk).

The volume comes out at 27.79 A^3/atom. As for the total magnetization: 0.00 μB per cell.

a b c (Å): 3.5470 3.5470 8.8367
angles (deg): 90.00 90.00 90.00
Space group P4/mmm (No. 123)
One atom of each set of equivalent atoms:
Er1 0.0000 0.0000 0.2270 x2
Lu1 0.5000 0.5000 0.5000 x1
Hg1 0.5000 0.5000 0.0000 x1

=====

Order of stability, best first: arrangement x, arrangement w

=====

Arrangement w

# Er2LuHg

A relaxed structure of Er2LuHg (GGA-PBE, Alexandria via LeMat-Bulk).

The volume comes out at 26.74 A^3/atom. As for the total magnetization: 0.02 μB per cell.

a b c (Å): 4.7360 4.7360 4.7686
angles (deg): 90.00 90.00 90.00
Space group P4/mmm (No. 123)
One atom of each set of equivalent atoms:
Er1 0.0000 0.5000 0.0000 x2
Lu1 0.0000 0.0000 0.5000 x1
Hg1 0.5000 0.5000 0.5000 x1

=====

Arrangement x

# Er2LuHg

A relaxed structure of Er2LuHg (GGA-PBE, Alexandria via LeMat-Bulk).

The volume comes out at 26.92 A^3/atom. As for the total magnetization: 1.70 μB per cell.

a b c (Å): 7.5524 7.5524 7.5524
angles (deg): 90.00 90.00 90.00
Space group Fm-3m (No. 225)
One atom of each set of equivalent atoms:
Er1 0.2500 0.2500 0.2500 x8
Lu1 0.0000 0.0000 0.0000 x4
Hg1 0.0000 0.0000 0.5000 x4

=====

Order of stability, best first: arrangement w, arrangement x

=====

Arrangement w

# Er2Mg3Hg4

A relaxed structure of Er2Mg3Hg4 (GGA-PBE, Alexandria via LeMat-Bulk).

The volume comes out at 23.11 A^3/atom. As for the total magnetization: 0.00 μB per cell.

a b c (Å): 8.6744 4.9982 9.5933
angles (deg): 90.00 90.30 90.00
Space group C2/m (No. 12)
One atom of each set of equivalent atoms:
Er1 0.1674 0.0000 0.2137 x4
Mg1 0.0000 0.5000 0.0000 x2
Mg2 0.1662 0.0000 0.5720 x4
Hg1 0.0013 0.5000 0.3405 x4
Hg2 0.1664 0.0000 0.8952 x4

=====

Arrangement x

# Er2Mg3Hg4

A relaxed structure of Er2Mg3Hg4 (GGA-PBE, Alexandria via LeMat-Bulk).

The volume comes out at 23.42 A^3/atom. As for the total magnetization: 0.00 μB per cell.

a b c (Å): 6.2703 16.8014 8.0016
angles (deg): 90.00 90.00 90.00
Space group Cmce (No. 64)
One atom of each set of equivalent atoms:
Er1 0.0000 0.0998 0.0922 x8
Mg1 0.0000 0.0000 0.5000 x4
Mg2 0.2500 0.2299 0.7500 x8
Hg1 0.0000 0.1694 0.4599 x8
Hg2 0.2500 0.0587 0.7500 x8

=====

Order of stability, best first: arrangement w, arrangement x

=====

Arrangement w

# ErMg3Hg2

A relaxed structure of ErMg3Hg2 (GGA-PBE, Alexandria via LeMat-Bulk).

The volume comes out at 23.40 A^3/atom. As for the total magnetization: 0.00 μB per cell.

a b c (Å): 4.2593 8.7176 7.5638
angles (deg): 90.00 90.00 90.00
Space group Pmc2_1 (No. 26)
One atom of each set of equivalent atoms:
Er1 0.0000 0.0782 0.0000 x2
Mg1 0.0000 0.3124 0.6078 x2
Mg2 0.5000 0.1935 0.3312 x2
Mg3 0.5000 0.4127 0.9339 x2
Hg1 0.0000 0.3871 0.2267 x2
Hg2 0.5000 0.1197 0.7115 x2

=====

Arrangement x

# ErMg3Hg2

A relaxed structure of ErMg3Hg2 (GGA-PBE, Alexandria via LeMat-Bulk).

The volume comes out at 23.56 A^3/atom. As for the total magnetization: 0.00 μB per cell.

a b c (Å): 16.6192 4.5780 8.0598
angles (deg): 90.00 112.79 90.00
Space group C2/m (No. 12)
One atom of each set of equivalent atoms:
Er1 0.1154 0.0000 0.1580 x4
Mg1 0.0630 0.0000 0.6946 x4
Mg2 0.1489 0.5000 0.4960 x4
Mg3 0.1912 0.5000 0.9031 x4
Hg1 0.0090 0.5000 0.8228 x4
Hg2 0.2398 0.0000 0.7106 x4

=====

Order of stability, best first: arrangement w, arrangement x

=====

Arrangement w

# Er2MgHg

A relaxed structure of Er2MgHg (GGA-PBE, Alexandria via LeMat-Bulk).

The volume comes out at 25.60 A^3/atom. As for the total magnetization: 0.00 μB per cell.

a b c (Å): 7.4262 7.4262 7.4262
angles (deg): 90.00 90.00 90.00
Space group Fm-3m (No. 225)
One atom of each set of equivalent atoms:
Er1 0.2500 0.2500 0.2500 x8
Mg1 0.0000 0.0000 0.0000 x4
Hg1 0.0000 0.0000 0.5000 x4

=====

Arrangement x

# Er2MgHg

A relaxed structure of Er2MgHg (GGA-PBE, Alexandria via LeMat-Bulk).

The volume comes out at 27.81 A^3/atom. As for the total magnetization: 0.00 μB per cell.

a b c (Å): 3.5549 3.5549 30.4879
angles (deg): 90.00 90.00 120.00
Space group R3m (No. 160, hexagonal axes)
One atom of each set of equivalent atoms:
Er1 0.0000 0.0000 0.0000 x3
Er2 0.0000 0.0000 0.1775 x3
Mg1 0.0000 0.0000 0.7551 x3
Hg1 0.0000 0.0000 0.5885 x3

=====

Order of stability, best first: arrangement w, arrangement x

=====

Arrangement w

# Er4MgHg2

A relaxed structure of Er4MgHg2 (GGA-PBE, Alexandria via LeMat-Bulk).

The volume comes out at 26.90 A^3/atom. As for the total magnetization: 0.00 μB per cell.

a b c (Å): 5.1684 5.1684 24.4198
angles (deg): 90.00 90.00 120.00
Space group R-3m (No. 166, hexagonal axes)
One atom of each set of equivalent atoms:
Er1 0.0000 0.0000 0.1112 x6
Er2 0.0000 0.0000 0.3669 x6
Mg1 0.0000 0.0000 0.5000 x3
Hg1 0.0000 0.0000 0.2405 x6

=====

Arrangement x

# Er4MgHg2

A relaxed structure of Er4MgHg2 (GGA-PBE, Alexandria via LeMat-Bulk).

The volume comes out at 29.23 A^3/atom. As for the total magnetization: 0.00 μB per cell.

a b c (Å): 5.1970 5.1970 26.2431
angles (deg): 90.00 90.00 120.00
Space group R-3m (No. 166, hexagonal axes)
One atom of each set of equivalent atoms:
Er1 0.0000 0.0000 0.1257 x6
Er2 0.0000 0.0000 0.2834 x6
Mg1 0.0000 0.0000 0.5000 x3
Hg1 0.0000 0.0000 0.3978 x6

=====

Order of stability, best first: arrangement w, arrangement x